1.
VASP calculation (PBE) on a relaxed CsKBr2F6 crystal.

```
CsKBr2F6
1.0
7.9319 -0.6391 -0.1232
-1.6054 7.7940 -0.1232
-1.9828 -2.2424 7.4375
Br F K Cs
4 12 2 2
direct
0.0221 0.2708 0.3058 Br
0.9779 0.7292 0.6942 Br
0.2708 0.0221 0.8058 Br
0.7292 0.9779 0.1942 Br
0.8505 0.8473 0.0596 F
0.4991 0.7093 0.1051 F
0.2907 0.5009 0.3949 F
0.1107 0.6000 0.8238 F
0.1495 0.1527 0.9404 F
0.8893 0.4000 0.1762 F
0.8473 0.8505 0.5596 F
0.5009 0.2907 0.8949 F
0.6000 0.1107 0.3238 F
0.4000 0.8893 0.6762 F
0.7093 0.4991 0.6051 F
0.1527 0.1495 0.4404 F
0.5538 0.4462 0.2500 K
0.4462 0.5538 0.7500 K
0.2100 0.7900 0.2500 Cs
0.7900 0.2100 0.7500 Cs
```

Results
- volume (Å³/atom) = 22.373
- uncorrected energy (eV per atom) = -3.309

=====

2.
VASP calculation (PBE) on a relaxed La12Pm7Sc crystal.

```
La12Pm7Sc
1.0
-1.6193 5.9500 -1.7953
4.9549 -3.8815 -9.6745
-10.3695 -4.3462 2.6070
Sc La Pm
1 12 7
direct
0.0000 0.0000 0.0000 Sc
0.0918 0.5926 0.1851 La
0.5654 0.6456 0.9998 La
0.9082 0.4074 0.8149 La
0.4344 0.9998 0.3542 La
0.9067 0.8149 0.4075 La
0.4346 0.3544 0.0002 La
0.0802 0.6458 0.6456 La
0.9198 0.3542 0.3544 La
0.5008 0.4075 0.5926 La
0.4992 0.5925 0.4074 La
0.5656 0.0002 0.6458 La
0.0933 0.1851 0.5925 La
0.8894 0.9998 0.2478 Pm
0.3584 0.2478 0.2480 Pm
0.5000 0.0000 0.0000 Pm
0.1106 0.0002 0.7522 Pm
0.1104 0.7520 0.9998 Pm
0.8896 0.2480 0.0002 Pm
0.6416 0.7522 0.7520 Pm
```

Results
- volume (Å³/atom) = 35.772
- energy relative to the lowest polymorph listed for this composition (eV/atom) = 0.070
- uncorrected energy (eV per atom) = -4.784
- energy relative to the elements (kJ/mol of formula units) = 293